Entry from Alexandria via LeMat-Bulk: a relaxed structure of CsYRh3 (PBE).

The space group is Pm-3m (No. 221) and the conventional cell measures 5.1722, 5.1722 and 5.1722 Å, with angles of 90.00, 90.00 and 90.00 degrees. The asymmetric unit holds Cs at (0.0000, 0.0000, 0.0000), Y at (0.5000, 0.5000, 0.5000) and Rh at (0.0000, 0.5000, 0.5000).

As for the energy relative to the lowest polymorph listed for this composition: 0.000 eV per atom. The calculation puts the energy relative to the elements at 912 meV/atom.